[1]
Compound: K2Cu3I8
Source: Alexandria via LeMat-Bulk
Functional: GGA-PBE
Structure: relaxed

Properties
Its space-group type is C2/m. The formation energy from raw total energies is -6.07 eV per formula unit. The value obtained for the calculated total energy is -0.093 Ha/atom.

Cell lengths 8.948, 8.948, 7.764 Å; angles 103.14, 103.14, 62.04 degrees
Element x y z (fractional)
K (0.215, 0.215, 0.077)
K (0.785, 0.785, 0.923)
Cu (0.179, 0.821, 0.500)
Cu (0.500, 0.500, 0.000)
Cu (0.821, 0.179, 0.500)
I (0.128, 0.128, 0.460)
I (0.208, 0.643, 0.189)
I (0.344, 0.344, 0.761)
I (0.357, 0.792, 0.811)
I (0.643, 0.208, 0.189)
I (0.656, 0.656, 0.239)
I (0.792, 0.357, 0.811)
I (0.872, 0.872, 0.540)



[2]
Compound: K2CuI3
Source: Alexandria via LeMat-Bulk
Functional: GGA-PBE
Structure: relaxed

Properties
Its space-group type is Pnma. The formation energy from raw total energies is -6.11 eV per formula unit. As for the excess energy over the best structure of this formula in the dataset: 0 meV per atom. The value obtained for the calculated total energy is -0.104 Ha/atom.

Cell lengths 13.764, 4.611, 14.427 Å; angles 90.00, 90.00, 90.00 degrees
Element x y z (fractional)
K (0.012, 0.250, 0.182)
K (0.181, 0.250, 0.515)
K (0.319, 0.750, 0.015)
K (0.488, 0.750, 0.682)
K (0.512, 0.250, 0.318)
K (0.681, 0.250, 0.985)
K (0.819, 0.750, 0.485)
K (0.988, 0.750, 0.818)
Cu (0.243, 0.750, 0.308)
Cu (0.257, 0.250, 0.808)
Cu (0.743, 0.750, 0.192)
Cu (0.757, 0.250, 0.692)
I (0.061, 0.750, 0.365)
I (0.130, 0.250, 0.945)
I (0.227, 0.750, 0.713)
I (0.273, 0.250, 0.213)
I (0.370, 0.750, 0.445)
I (0.439, 0.250, 0.865)
I (0.561, 0.750, 0.135)
I (0.630, 0.250, 0.555)
I (0.727, 0.750, 0.787)
I (0.773, 0.250, 0.287)
I (0.870, 0.750, 0.055)
I (0.939, 0.250, 0.635)



[3]
Compound: K3CuI4
Source: Alexandria via LeMat-Bulk
Functional: GGA-PBE
Structure: relaxed

Properties
Its space-group type is Pmmn. The formation energy from raw total energies is -8.72 eV per formula unit. As for the excess energy over the best structure of this formula in the dataset: 0 meV per atom. The value obtained for the calculated total energy is -0.102 Ha/atom.

Cell lengths 4.767, 14.319, 10.872 Å; angles 90.00, 90.00, 90.00 degrees
Element x y z (fractional)
K (0.250, 0.088, 0.179)
K (0.250, 0.412, 0.179)
K (0.250, 0.750, 0.358)
K (0.750, 0.250, 0.642)
K (0.750, 0.588, 0.821)
K (0.750, 0.912, 0.821)
Cu (0.250, 0.250, 0.918)
Cu (0.750, 0.750, 0.082)
I (0.250, 0.092, 0.799)
I (0.250, 0.250, 0.411)
I (0.250, 0.408, 0.799)
I (0.250, 0.750, 0.954)
I (0.750, 0.250, 0.046)
I (0.750, 0.592, 0.201)
I (0.750, 0.750, 0.589)
I (0.750, 0.908, 0.201)



[4]
Compound: KCu2I
Source: Alexandria via LeMat-Bulk
Functional: GGA-PBE
Structure: relaxed

Properties
Its space-group type is Fm-3m. The formation energy from raw total energies is 1.95 eV per formula unit. As for the excess energy over the best structure of this formula in the dataset: 112 meV per atom. The value obtained for the calculated total energy is -0.082 Ha/atom.

Cell lengths 5.186, 5.186, 5.186 Å; angles 60.00, 60.00, 60.00 degrees
Element x y z (fractional)
K (0.000, 0.000, 0.000)
Cu (0.250, 0.250, 0.250)
Cu (0.750, 0.750, 0.750)
I (0.500, 0.500, 0.500)



[5]
Compound: KCu2I
Source: Alexandria via LeMat-Bulk
Functional: GGA-PBE
Structure: relaxed

Properties
Its space-group type is I-42d. The formation energy from raw total energies is 1.50 eV per formula unit. As for the excess energy over the best structure of this formula in the dataset: 0 meV per atom. The value obtained for the calculated total energy is -0.086 Ha/atom.

Cell lengths 6.807, 6.807, 6.807 Å; angles 102.62, 102.62, 124.27 degrees
Element x y z (fractional)
K (0.000, 0.000, 0.000)
K (0.750, 0.250, 0.500)
Cu (0.191, 0.625, 0.066)
Cu (0.375, 0.441, 0.566)
Cu (0.559, 0.125, 0.934)
Cu (0.875, 0.809, 0.434)
I (0.250, 0.750, 0.500)
I (0.500, 0.500, 0.000)



[6]
Compound: K2Cu2I5
Source: Alexandria via LeMat-Bulk
Functional: GGA-PBE
Structure: relaxed

Properties
Its space-group type is C2/m. The formation energy from raw total energies is -6.06 eV per formula unit. As for the excess energy over the best structure of this formula in the dataset: 0 meV per atom. The value obtained for the calculated total energy is -0.099 Ha/atom.

Cell lengths 7.912, 7.912, 8.372 Å; angles 101.81, 101.81, 41.98 degrees
Element x y z (fractional)
K (0.109, 0.109, 0.293)
K (0.891, 0.891, 0.707)
Cu (0.340, 0.340, 0.124)
Cu (0.660, 0.660, 0.876)
I (0.182, 0.182, 0.903)
I (0.357, 0.357, 0.438)
I (0.500, 0.500, 0.000)
I (0.643, 0.643, 0.562)
I (0.818, 0.818, 0.097)



[7]
Compound: KLaCuI6
Source: Alexandria via LeMat-Bulk
Functional: GGA-PBE
Structure: relaxed

Properties
Its space-group type is P1. The formation energy from raw total energies is -8.80 eV per formula unit. The value obtained for the calculated total energy is -0.115 Ha/atom.

Cell lengths 7.517, 7.557, 8.062 Å; angles 93.34, 94.18, 112.57 degrees
Element x y z (fractional)
K (0.000, 0.000, 0.000)
La (0.360, 0.679, 0.509)
Cu (0.748, 0.359, 0.456)
I (0.013, 0.600, 0.236)
I (0.037, 0.327, 0.660)
I (0.402, 0.975, 0.802)
I (0.447, 0.377, 0.261)
I (0.664, 0.001, 0.311)
I (0.688, 0.577, 0.705)



[8]
Compound: K3LiCu2I6
Source: Alexandria via LeMat-Bulk
Functional: GGA-PBE
Structure: relaxed

Properties
Its space-group type is P-3m1. The formation energy from raw total energies is -10.62 eV per formula unit. The value obtained for the calculated total energy is -0.102 Ha/atom.

Cell lengths 8.424, 8.424, 9.064 Å; angles 90.00, 90.00, 120.00 degrees
Element x y z (fractional)
K (0.000, 0.000, 0.000)
K (0.333, 0.667, 0.641)
K (0.667, 0.333, 0.359)
Li (0.000, 0.000, 0.500)
Cu (0.333, 0.667, 0.275)
Cu (0.667, 0.333, 0.725)
I (0.161, 0.323, 0.291)
I (0.161, 0.839, 0.291)
I (0.323, 0.161, 0.709)
I (0.677, 0.839, 0.291)
I (0.839, 0.161, 0.709)
I (0.839, 0.677, 0.709)



[9]
Compound: KLiCuI4
Source: Alexandria via LeMat-Bulk
Functional: GGA-PBE
Structure: relaxed

Properties
Its space-group type is P2_1/m. The formation energy from raw total energies is -5.36 eV per formula unit. The value obtained for the calculated total energy is -0.098 Ha/atom.

Cell lengths 7.026, 7.345, 11.045 Å; angles 90.00, 102.04, 90.00 degrees
Element x y z (fractional)
K (0.204, 0.250, 0.041)
K (0.796, 0.750, 0.959)
Li (0.332, 0.250, 0.705)
Li (0.668, 0.750, 0.295)
Cu (0.206, 0.750, 0.300)
Cu (0.794, 0.250, 0.700)
I (0.049, 0.507, 0.737)
I (0.049, 0.993, 0.737)
I (0.364, 0.750, 0.090)
I (0.482, 0.750, 0.489)
I (0.518, 0.250, 0.511)
I (0.636, 0.250, 0.910)
I (0.951, 0.007, 0.263)
I (0.951, 0.493, 0.263)



[10]
Compound: KLiCuI3
Source: Alexandria via LeMat-Bulk
Functional: GGA-PBE
Structure: relaxed

Properties
Its space-group type is P2_1/m. The formation energy from raw total energies is -5.54 eV per formula unit. The value obtained for the calculated total energy is -0.106 Ha/atom.

Cell lengths 9.565, 4.326, 10.220 Å; angles 90.00, 104.53, 90.00 degrees
Element x y z (fractional)
K (0.182, 0.250, 0.220)
K (0.818, 0.750, 0.780)
Li (0.359, 0.750, 0.879)
Li (0.641, 0.250, 0.121)
Cu (0.064, 0.250, 0.572)
Cu (0.936, 0.750, 0.428)
I (0.122, 0.250, 0.844)
I (0.216, 0.750, 0.524)
I (0.451, 0.750, 0.165)
I (0.549, 0.250, 0.835)
I (0.784, 0.250, 0.476)
I (0.878, 0.750, 0.156)



[11]
Compound: KLi2CuI4
Source: Alexandria via LeMat-Bulk
Functional: GGA-PBE
Structure: relaxed

Properties
Its space-group type is I-42m. The formation energy from raw total energies is -7.72 eV per formula unit. The value obtained for the calculated total energy is -0.105 Ha/atom.

Cell lengths 7.342, 7.342, 7.342 Å; angles 119.39, 119.39, 91.05 degrees
Element x y z (fractional)
K (0.000, 0.000, 0.000)
Li (0.250, 0.750, 0.500)
Li (0.750, 0.250, 0.500)
Cu (0.500, 0.500, 0.000)
I (0.147, 0.554, 0.000)
I (0.446, 0.446, 0.593)
I (0.554, 0.147, 0.000)
I (0.853, 0.853, 0.407)



[12]
Compound: K2MgCuI5
Source: Alexandria via LeMat-Bulk
Functional: GGA-PBE
Structure: relaxed

Properties
Its space-group type is Cmc2_1. The formation energy from raw total energies is -9.17 eV per formula unit. The value obtained for the calculated total energy is -0.101 Ha/atom.

Cell lengths 10.623, 10.623, 14.714 Å; angles 90.00, 90.00, 155.79 degrees
Element x y z (fractional)
K (0.120, 0.880, 0.500)
K (0.124, 0.876, 0.129)
K (0.876, 0.124, 0.629)
K (0.880, 0.120, 0.000)
Mg (0.204, 0.796, 0.826)
Mg (0.796, 0.204, 0.326)
Cu (0.435, 0.565, 0.230)
Cu (0.565, 0.435, 0.730)
I (0.064, 0.936, 0.826)
I (0.294, 0.706, 0.462)
I (0.302, 0.698, 0.184)
I (0.343, 0.657, 0.815)
I (0.498, 0.502, 0.080)
I (0.502, 0.498, 0.580)
I (0.657, 0.343, 0.315)
I (0.698, 0.302, 0.684)
I (0.706, 0.294, 0.962)
I (0.936, 0.064, 0.326)